Run P
DFT (PBE-GGA) results for a geometry-optimized Lu2TePb structure.

Cell lengths 3.6522, 3.6522, 8.0275 Å; angles 90.00, 90.00, 90.00 degrees
Space group P4/mmm (No. 123)
Asymmetric unit:
Lu (0.0000, 0.0000, 0.2350)
Te (0.5000, 0.5000, 0.0000)
Pb (0.5000, 0.5000, 0.5000)



Run Q
DFT (PBE-GGA) results for a geometry-optimized Lu2TePb structure.

Cell lengths 4.3578, 4.3578, 21.2961 Å; angles 90.00, 90.00, 120.00 degrees
Space group R-3m (No. 166, hexagonal axes)
Asymmetric unit:
Lu (0.0000, 0.0000, 0.2452)
Te (0.0000, 0.0000, 0.0000)
Pb (0.0000, 0.0000, 0.5000)



It is run Q that is the most stable of them.



Run P
DFT (PBE-GGA) results for a geometry-optimized Lu2ThPb structure.

Cell lengths 4.9022, 4.9022, 4.7355 Å; angles 90.00, 90.00, 90.00 degrees
Space group P4/mmm (No. 123)
Asymmetric unit:
Lu (0.0000, 0.5000, 0.0000)
Th (0.0000, 0.0000, 0.5000)
Pb (0.5000, 0.5000, 0.5000)



Run Q
DFT (PBE-GGA) results for a geometry-optimized Lu2ThPb structure.

Cell lengths 3.6053, 3.6053, 8.9514 Å; angles 90.00, 90.00, 90.00 degrees
Space group P4/mmm (No. 123)
Asymmetric unit:
Lu (0.0000, 0.0000, 0.2376)
Th (0.5000, 0.5000, 0.5000)
Pb (0.5000, 0.5000, 0.0000)



It is run Q that is the most stable of them.



Run P
DFT (PBE-GGA) results for a geometry-optimized Lu2TiPb structure.

Cell lengths 3.7116, 3.7116, 7.2964 Å; angles 90.00, 90.00, 90.00 degrees
Space group P4/mmm (No. 123)
Asymmetric unit:
Lu (0.0000, 0.0000, 0.2314)
Ti (0.5000, 0.5000, 0.0000)
Pb (0.5000, 0.5000, 0.5000)



Run Q
DFT (PBE-GGA) results for a geometry-optimized Lu2TiPb structure.

Cell lengths 3.3993, 3.3993, 30.5918 Å; angles 90.00, 90.00, 120.00 degrees
Space group R-3m (No. 166, hexagonal axes)
Asymmetric unit:
Lu (0.0000, 0.0000, 0.2454)
Ti (0.0000, 0.0000, 0.5000)
Pb (0.0000, 0.0000, 0.0000)



It is run P that is the most stable of them.